! NiSnOs2Br | Alexandria | GGA-PBEsol | relaxed; values from VASP
&SYSTEM
  ibrav = 0, nat = 5, ntyp = 4
/
ATOMIC_SPECIES
Ni 58.69 Ni.upf
Sn 118.71 Sn.upf
Os 190.23 Os.upf
Br 79.90 Br.upf
ATOMIC_POSITIONS angstrom
Ni 0.000 0.000 0.000
Sn 2.242 2.242 0.000
Os 0.000 2.242 2.641
Os 2.242 0.000 2.641
Br 2.242 2.242 2.641
CELL_PARAMETERS angstrom
4.483 0.000 0.000
0.000 4.483 0.000
0.000 0.000 5.283
! magnetic moment: 1.0 μB per formula unit
! V: 21.236 Å³/atom
! total DFT energy (no corrections): -4.94 eV/atom